# 1
Compound: Nd6SmDy8
Source: Alexandria via LeMat-Bulk
Functional: PBE
Structure: optimized geometry

Values from the calculation:
- magnetic moment (μB/f.u.) = 0.00
- ΔE to the lowest computed polymorph (meV/atom) = 63
- space group = P-3 (147)
- electronic total energy (eV/atom) = -4.49
- theoretical density (g/cm3) = 7.62
- density of states at the Fermi level (states/eV/atom) = 1.6109
- formation energy (eV per formula unit) = 2.762

Structure (POSCAR):
```
Nd6SmDy8
1.0
9.480 0.000 0.000
-4.740 8.210 0.000
0.000 0.000 6.487
Nd Sm Dy
6 1 8
direct
0.037 0.750 0.329
0.250 0.286 0.329
0.286 0.037 0.671
0.714 0.963 0.329
0.750 0.714 0.671
0.963 0.250 0.671
0.000 0.000 0.000
0.096 0.651 0.835
0.333 0.667 0.369
0.349 0.444 0.835
0.444 0.096 0.165
0.556 0.904 0.835
0.651 0.556 0.165
0.667 0.333 0.631
0.904 0.349 0.165
```

---

# 2
Compound: BePb
Source: Alexandria via LeMat-Bulk
Functional: PBE
Structure: optimized geometry

Values from the calculation:
- magnetic moment (μB/f.u.) = 0.00
- ΔE to the lowest computed polymorph (meV/atom) = 386
- space group = Fm-3m (225)
- electronic total energy (eV/atom) = -3.03
- theoretical density (g/cm3) = 8.87
- density of states at the Fermi level (states/eV/atom) = 0.4544
- formation energy (eV per formula unit) = 1.379

Structure (POSCAR):
```
BePb
1.0
0.000 2.726 2.726
2.726 0.000 2.726
2.726 2.726 0.000
Be Pb
1 1
direct
0.000 0.000 0.000
0.500 0.500 0.500
```

---

# 3
Compound: Ca6H12Os
Source: Alexandria via LeMat-Bulk
Functional: PBE
Structure: optimized geometry

Values from the calculation:
- magnetic moment (μB/f.u.) = 0.06
- space group = R-3 (148)
- electronic total energy (eV/atom) = -3.77
- theoretical density (g/cm3) = 3.06
- density of states at the Fermi level (states/eV/atom) = 0.2352

Structure (POSCAR):
```
Ca6H12Os
1.0
4.756 2.746 3.067
-4.756 2.746 3.067
0.000 -5.492 3.067
Ca H Os
6 12 1
direct
0.089 0.786 0.655
0.214 0.345 0.911
0.345 0.911 0.214
0.655 0.089 0.786
0.786 0.655 0.089
0.911 0.214 0.345
0.036 0.888 0.334
0.112 0.666 0.964
0.228 0.447 0.535
0.334 0.036 0.888
0.447 0.535 0.228
0.465 0.772 0.553
0.535 0.228 0.447
0.553 0.465 0.772
0.666 0.964 0.112
0.772 0.553 0.465
0.888 0.334 0.036
0.964 0.112 0.666
0.500 0.500 0.500
```

---

# 4
Compound: SrFe2W
Source: Alexandria via LeMat-Bulk
Functional: PBE
Structure: optimized geometry

Values from the calculation:
- magnetic moment (μB/f.u.) = 1.80
- ΔE to the lowest computed polymorph (meV/atom) = 215
- space group = Amm2 (38)
- electronic total energy (eV/atom) = -7.17
- theoretical density (g/cm3) = 7.98
- density of states at the Fermi level (states/eV/atom) = 1.1176
- formation energy (eV per formula unit) = 2.889

Structure (POSCAR):
```
SrFe2W
1.0
3.744 0.000 0.000
0.000 1.735 6.132
0.000 -1.735 6.132
Sr Fe W
1 2 1
direct
0.000 0.000 0.000
0.000 0.251 0.251
0.500 0.353 0.353
0.500 0.720 0.720
```

---

# 5
Compound: Ca2Mg2Cu
Source: Alexandria via LeMat-Bulk
Functional: PBE
Structure: optimized geometry

Values from the calculation:
- magnetic moment (μB/f.u.) = 0.00
- ΔE to the lowest computed polymorph (meV/atom) = 145
- space group = P4/mbm (127)
- electronic total energy (eV/atom) = -2.20
- theoretical density (g/cm3) = 2.33
- density of states at the Fermi level (states/eV/atom) = 1.0197
- formation energy (eV per formula unit) = 0.299

Structure (POSCAR):
```
Ca2Mg2Cu
1.0
7.194 0.000 0.000
0.000 7.194 0.000
0.000 0.000 5.302
Ca Mg Cu
4 4 2
direct
0.175 0.325 0.000
0.325 0.825 0.000
0.675 0.175 0.000
0.825 0.675 0.000
0.146 0.646 0.500
0.354 0.146 0.500
0.646 0.854 0.500
0.854 0.354 0.500
0.000 0.000 0.500
0.500 0.500 0.500
```

---

# 6
Compound: YMnRu2
Source: Alexandria via LeMat-Bulk
Functional: PBE
Structure: optimized geometry

Values from the calculation:
- magnetic moment (μB/f.u.) = 3.09
- space group = R3m (160)
- electronic total energy (eV/atom) = -8.02
- theoretical density (g/cm3) = 8.46
- density of states at the Fermi level (states/eV/atom) = 1.2114
- formation energy (eV per formula unit) = 2.106

Structure (POSCAR):
```
YMnRu2
1.0
1.452 0.838 9.297
-1.452 0.838 9.297
0.000 -1.677 9.297
Y Mn Ru
1 1 2
direct
0.000 0.000 0.000
0.240 0.240 0.240
0.498 0.498 0.498
0.760 0.760 0.760
```

---

# 7
Compound: Np2Ag2Au15
Source: Alexandria via LeMat-Bulk
Functional: PBE
Structure: optimized geometry

Values from the calculation:
- magnetic moment (μB/f.u.) = 8.79
- space group = R-3m (166)
- electronic total energy (eV/atom) = -4.28
- theoretical density (g/cm3) = 15.83
- density of states at the Fermi level (states/eV/atom) = 1.4549
- formation energy (eV per formula unit) = -0.628

Structure (POSCAR):
```
Np2Ag2Au15
1.0
4.773 2.756 4.843
-4.773 2.756 4.843
0.000 -5.512 4.843
Np Ag Au
2 2 15
direct
0.157 0.157 0.157
0.843 0.843 0.843
0.402 0.402 0.402
0.598 0.598 0.598
0.000 0.500 0.500
0.143 0.143 0.656
0.143 0.656 0.143
0.196 0.500 0.804
0.196 0.804 0.500
0.344 0.857 0.857
0.500 0.000 0.500
0.500 0.196 0.804
0.500 0.500 0.000
0.500 0.804 0.196
0.656 0.143 0.143
0.804 0.196 0.500
0.804 0.500 0.196
0.857 0.344 0.857
0.857 0.857 0.344
```

---

# 8
Compound: Ac2PuHfN5
Source: Alexandria via LeMat-Bulk
Functional: PBE
Structure: optimized geometry

Values from the calculation:
- magnetic moment (μB/f.u.) = 2.98
- space group = Cmc2_1 (36)
- electronic total energy (eV/atom) = -9.40
- formation energy from raw total energies (eV per atom) = -1.1585
- theoretical density (g/cm3) = 10.75
- density of states at the Fermi level (states/eV/atom) = 0.4848

Structure (POSCAR):
```
Ac2PuHfN5
1.0
1.788 -7.226 0.000
1.788 7.226 0.000
0.000 0.000 11.310
Ac Pu Hf N
4 2 2 10
direct
0.109 0.891 0.500
0.144 0.856 0.101
0.856 0.144 0.601
0.891 0.109 0.000
0.468 0.532 0.274
0.532 0.468 0.774
0.223 0.777 0.825
0.777 0.223 0.325
0.066 0.934 0.869
0.276 0.724 0.459
0.316 0.684 0.211
0.370 0.630 0.812
0.496 0.504 0.599
0.504 0.496 0.099
0.630 0.370 0.312
0.684 0.316 0.711
0.724 0.276 0.959
0.934 0.066 0.369
```

---

# 9
Compound: Ac2Ce2Pt15
Source: Alexandria via LeMat-Bulk
Functional: PBE
Structure: optimized geometry

Values from the calculation:
- magnetic moment (μB/f.u.) = 0.71
- space group = R-3m (166)
- electronic total energy (eV/atom) = -6.57
- theoretical density (g/cm3) = 16.75
- density of states at the Fermi level (states/eV/atom) = 1.0854
- formation energy (eV per formula unit) = -14.120

Structure (POSCAR):
```
Ac2Ce2Pt15
1.0
4.741 2.737 4.660
-4.741 2.737 4.660
0.000 -5.474 4.660
Ac Ce Pt
2 2 15
direct
0.145 0.145 0.145
0.855 0.855 0.855
0.400 0.400 0.400
0.600 0.600 0.600
0.000 0.500 0.500
0.156 0.156 0.659
0.156 0.659 0.156
0.188 0.500 0.812
0.188 0.812 0.500
0.341 0.844 0.844
0.500 0.000 0.500
0.500 0.188 0.812
0.500 0.500 0.000
0.500 0.812 0.188
0.659 0.156 0.156
0.812 0.188 0.500
0.812 0.500 0.188
0.844 0.341 0.844
0.844 0.844 0.341
```

---

# 10
Compound: KCa2ZnIr
Source: Alexandria via LeMat-Bulk
Functional: PBE
Structure: optimized geometry

Values from the calculation:
- magnetic moment (μB/f.u.) = 0.00
- space group = P4/mmm (123)
- electronic total energy (eV/atom) = -3.16
- theoretical density (g/cm3) = 3.99
- density of states at the Fermi level (states/eV/atom) = 0.5746
- formation energy (eV per formula unit) = -0.554

Structure (POSCAR):
```
KCa2ZnIr
1.0
5.521 0.000 0.000
0.000 5.521 0.000
0.000 0.000 5.144
K Ca Zn Ir
1 2 1 1
direct
0.000 0.000 0.000
0.000 0.500 0.500
0.500 0.000 0.500
0.500 0.500 0.000
0.500 0.500 0.500
```

---

# 11
Compound: Y4IrSe2S
Source: Alexandria via LeMat-Bulk
Functional: PBE
Structure: optimized geometry

Values from the calculation:
- magnetic moment (μB/f.u.) = 0.00
- space group = Imma (74)
- electronic total energy (eV/atom) = -7.30
- formation energy from raw total energies (eV per atom) = -1.5751
- theoretical density (g/cm3) = 6.38
- density of states at the Fermi level (states/eV/atom) = 0.7994

Structure (POSCAR):
```
Y4IrSe2S
1.0
-4.016 4.130 5.790
4.016 -4.130 5.790
4.016 4.130 -5.790
Y Ir Se S
8 2 4 2
direct
0.259 0.251 0.491
0.259 0.768 0.009
0.267 0.246 0.021
0.274 0.754 0.521
0.726 0.246 0.479
0.733 0.754 0.979
0.741 0.232 0.991
0.741 0.749 0.509
0.500 0.000 0.000
0.500 0.500 0.500
0.000 0.000 0.500
0.000 0.500 0.000
0.000 0.500 0.500
0.500 0.500 0.000
0.000 0.000 0.000
0.500 0.000 0.500
```

---

# 12
Compound: CrMoS2I
Source: Alexandria via LeMat-Bulk
Functional: PBE
Structure: optimized geometry

Values from the calculation:
- magnetic moment (μB/f.u.) = 2.65
- space group = P4/mmm (123)
- electronic total energy (eV/atom) = -5.52
- formation energy from raw total energies (eV per atom) = 0.5290
- theoretical density (g/cm3) = 5.27
- density of states at the Fermi level (states/eV/atom) = 0.6444

Structure (POSCAR):
```
CrMoS2I
1.0
4.336 0.000 0.000
0.000 4.336 0.000
0.000 0.000 5.677
Cr Mo S I
1 1 2 1
direct
0.000 0.000 0.000
0.000 0.000 0.500
0.000 0.500 0.000
0.500 0.000 0.000
0.500 0.500 0.500
```